Material: PrErBiSe
Method: DFT, PBE-GGA
State: optimized geometry

POSCAR file:
```
PrErBiSe
1.0
4.241 0.000 0.000
-2.121 3.673 0.000
0.000 0.000 22.923
Pr Er Bi Se
3 3 3 3
Direct
0.000 0.000 0.000
0.333 0.667 0.667
0.667 0.333 0.333
0.000 0.000 0.163
0.333 0.667 0.829
0.667 0.333 0.496
0.000 0.000 0.576
0.333 0.667 0.243
0.667 0.333 0.909
0.000 0.000 0.755
0.333 0.667 0.421
0.667 0.333 0.088
```

Material: CdIn2Ge
Method: DFT, PBE-GGA
State: optimized geometry

POSCAR file:
```
CdIn2Ge
1.0
4.568 0.000 0.000
-2.284 3.956 0.000
0.000 0.000 17.579
Cd In Ge
3 6 3
Direct
0.000 0.000 0.000
0.333 0.667 0.667
0.667 0.333 0.333
0.000 0.000 0.235
0.000 0.000 0.424
0.333 0.667 0.090
0.333 0.667 0.902
0.667 0.333 0.569
0.667 0.333 0.757
0.000 0.000 0.831
0.333 0.667 0.497
0.667 0.333 0.164
```

## Properties
formation energy from the elements = 48 kJ/mol of formula units

Material: RbLa2TaO
Method: DFT, PBE-GGA
State: optimized geometry

POSCAR file:
```
RbLa2TaO
1.0
5.499 0.000 0.000
0.000 5.499 0.000
0.000 0.000 5.917
Rb La Ta O
1 2 1 1
Direct
0.000 0.000 0.000
0.000 0.500 0.500
0.500 0.000 0.500
0.000 0.000 0.500
0.500 0.500 0.000
```

Material: InBi2Rh
Method: DFT, PBE-GGA
State: optimized geometry

POSCAR file:
```
InBi2Rh
1.0
6.549 0.000 0.000
0.000 6.549 0.000
0.000 0.000 12.846
In Bi Rh
4 8 4
Direct
0.000 0.000 0.000
0.000 0.500 0.250
0.500 0.000 0.750
0.500 0.500 0.500
0.196 0.250 0.625
0.250 0.696 0.875
0.250 0.804 0.375
0.304 0.250 0.125
0.696 0.750 0.125
0.750 0.196 0.375
0.750 0.304 0.875
0.804 0.750 0.625
0.000 0.000 0.500
0.000 0.500 0.750
0.500 0.000 0.250
0.500 0.500 0.000
```

## Properties
formation energy from the elements = 78 kJ/mol of formula units

In eV/atom, the total DFT energy (no corrections) values for the records above are, in order, -5.40, -2.63, -4.56, -4.26.
In A^3/atom, the volume values for the records above are, in order, 29.8, 26.5, 35.8, 34.4.